A plane-wave DFT calculation with GGA-PBE was carried out for a geometry-optimized CsK2BiO structure.

Output
Total magnetization, μB/cell: 0.000
Fermi-level density of states, states/eV per atom: 0.79
V, Å³/atom: 48.0
E_tot, eV per atom: -2.530
Crystal system: tetragonal

Lattice parameters (Å, degrees): 7.1600 4.6786 7.1600 90.00 90.00 90.00
With the nearest neighbours (Å) after each atom.
Fractional positions:
Cs  0.5000  0.5000  0.5000  8 K 4.28, 2 Cs 4.68
K  0.0000  0.0000  0.5000  2 Bi 3.58
K  0.5000  0.0000  0.0000  2 Bi 3.58
Bi  0.0000  0.0000  0.0000  2 O 2.34
O  0.0000  0.5000  0.0000  2 Bi 2.34

A plane-wave DFT calculation with GGA-PBE was carried out for a geometry-optimized Cs2K6BiO structure.

Output
Total magnetization, μB/cell: 0.002
Fermi-level density of states, states/eV per atom: 0.48
V, Å³/atom: 50.9
E_tot, eV per atom: -2.107
Crystal system: monoclinic

Lattice parameters (Å, degrees): 10.4520 7.8983 13.1854 90.00 69.21 90.00
With the nearest neighbours (Å) after each atom.
Fractional positions:
Cs  0.1142  0.9998  0.3041  3 Bi 4.57-4.64, 9 K 4.58-4.68, 3 Cs 4.78-4.86
Cs  0.6142  0.5002  0.8041  3 Bi 4.57-4.64, 9 K 4.58-4.68, 3 Cs 4.78-4.86
Cs  0.8858  0.0002  0.6959  3 Bi 4.57-4.64, 9 K 4.58-4.68, 3 Cs 4.78-4.86
Cs  0.3858  0.4998  0.1959  3 Bi 4.57-4.64, 9 K 4.58-4.68, 3 Cs 4.78-4.86
K  0.1867  0.7439  0.9731  1 O 2.67
K  0.6867  0.7561  0.4731  1 O 2.67
K  0.8133  0.2561  0.0269  1 O 2.67
K  0.3133  0.2439  0.5269  1 O 2.67
K  0.3132  0.7563  0.5270  1 O 2.67
K  0.8132  0.7437  0.0270  1 O 2.67
K  0.6868  0.2437  0.4730  1 O 2.67
K  0.1868  0.2563  0.9730  1 O 2.67
K  0.9378  0.4998  0.2148  1 O 2.67
K  0.4378  0.0002  0.7148  1 O 2.67
K  0.0622  0.5002  0.7852  1 O 2.67
K  0.5622  0.9998  0.2852  1 O 2.67
Bi  0.5000  0.0000  0.0000  6 K 3.97-4.04
Bi  0.0000  0.5000  0.5000  6 K 3.97-4.04
O  0.5000  0.0000  0.5000  6 K 2.67
O  0.0000  0.5000  0.0000  6 K 2.67

A plane-wave DFT calculation with GGA-PBE was carried out for a geometry-optimized Cs2KBiO4 structure.

Output
Total magnetization, μB/cell: 0.482
V, Å³/atom: 34.8
E_tot, eV per atom: -4.368
Crystal system: orthorhombic

Lattice parameters (Å, degrees): 6.6553 7.5190 12.8310 83.41 74.97 63.73
With the nearest neighbours (Å) after each atom.
Fractional positions:
Cs  0.1972  0.0000  0.6057  2 O 3.04
Cs  0.8028  0.0000  0.3943  2 O 3.04
Cs  0.5528  0.5000  0.8943  2 O 3.04
Cs  0.9472  0.5000  0.1057  2 O 3.04
K  0.7500  0.5000  0.5000  4 O 2.62
K  0.0000  0.0000  0.0000  4 O 2.62
Bi  0.2500  0.5000  0.5000  4 O 2.05
Bi  0.5000  0.0000  0.0000  4 O 2.05
O  0.3721  0.8020  0.0738  1 Bi 2.05
O  0.2479  0.1980  0.9262  1 Bi 2.05
O  0.8259  0.8020  0.9262  1 Bi 2.05
O  0.5541  0.1980  0.0738  1 Bi 2.05
O  0.3779  0.6980  0.4262  1 Bi 2.05
O  0.5021  0.3020  0.5738  1 Bi 2.05
O  0.9241  0.6980  0.5738  1 Bi 2.05
O  0.1959  0.3020  0.4262  1 Bi 2.05

A plane-wave DFT calculation with GGA-PBE was carried out for a geometry-optimized CsKBiPb structure.

Output
Energy above the lowest structure with this stoichiometry, meV per atom: 0
Total magnetization, μB/cell: 0.007
Formation energy from the elements, eV per atom: -0.25
Fermi-level density of states, states/eV per atom: 0.77
V, Å³/atom: 50.7
E_tot, eV per atom: -2.635
Crystal system: monoclinic

Lattice parameters (Å, degrees): 4.7713 6.8028 7.6940 62.13 90.00 110.53
With the nearest neighbours (Å) after each atom.
Fractional positions:
Cs  0.9899  0.9797  0.8313  3 Bi 3.93-4.04, 3 Pb 4.12-4.20
K  0.5824  0.1648  0.2594  3 Bi 3.62-3.65, 2 Pb 3.93
Bi  0.2891  0.5782  0.2827  2 Pb 3.08
Pb  0.8010  0.6020  0.5252  2 Bi 3.08

A plane-wave DFT calculation with GGA-PBE was carried out for a geometry-optimized Cs2KBi2Pb structure.

Output
Total magnetization, μB/cell: 0.000
Formation energy from the elements, eV per atom: -0.34
Fermi-level density of states, states/eV per atom: 0.55
V, Å³/atom: 48.9
E_tot, eV per atom: -2.719
Crystal system: orthorhombic

Lattice parameters (Å, degrees): 8.2634 7.8975 10.6524 111.76 112.82 90.00
With the nearest neighbours (Å) after each atom.
Fractional positions:
Cs  0.4297  0.1723  0.3445  4 Bi 3.95-4.15, 2 Pb 4.18, 2 K 4.24
Cs  0.5703  0.8277  0.6555  4 Bi 3.95-4.15, 2 Pb 4.18, 2 K 4.24
Cs  0.0852  0.3277  0.6555  4 Bi 3.95-4.15, 2 Pb 4.18, 2 K 4.24
Cs  0.9148  0.6723  0.3445  4 Bi 3.95-4.15, 2 Pb 4.18, 2 K 4.24
K  0.0000  0.7500  0.0000  4 Bi 3.61, 2 K 3.95
K  0.0000  0.2500  0.0000  4 Bi 3.61, 2 K 3.95
Bi  0.8144  0.1034  0.2067  2 Pb 3.22
Bi  0.3923  0.6034  0.2067  2 Pb 3.22
Bi  0.6077  0.3966  0.7933  2 Pb 3.22
Bi  0.1856  0.8966  0.7933  2 Pb 3.22
Pb  0.5000  0.7500  0.0000  4 Bi 3.22
Pb  0.5000  0.2500  0.0000  4 Bi 3.22

A plane-wave DFT calculation with GGA-PBE was carried out for a geometry-optimized CsKBiPb structure.

Output
Energy above the lowest structure with this stoichiometry, meV per atom: 98
Total magnetization, μB/cell: 0.000
Formation energy from the elements, eV per atom: -0.15
Fermi-level density of states, states/eV per atom: 0.54
V, Å³/atom: 40.5
E_tot, eV per atom: -2.537
Crystal system: cubic

Lattice parameters (Å, degrees): 6.1167 6.1167 6.1167 60.00 60.00 60.00
With the nearest neighbours (Å) after each atom.
Fractional positions:
Pb  0.5000  0.5000  0.5000  4 Cs 3.75, 4 Bi 3.75
Cs  0.2500  0.2500  0.2500  4 Pb 3.75, 4 K 3.75
K  0.0000  0.0000  0.0000  4 Bi 3.75, 4 Cs 3.75
Bi  0.7500  0.7500  0.7500  4 Pb 3.75, 4 K 3.75

A plane-wave DFT calculation with GGA-PBE was carried out for a geometry-optimized CsKBi2Pd structure.

Output
Total magnetization, μB/cell: 0.000
Formation energy from the elements, eV per atom: -0.18
Fermi-level density of states, states/eV per atom: 1.12
V, Å³/atom: 37.6
E_tot, eV per atom: -3.165
Crystal system: tetragonal

Lattice parameters (Å, degrees): 5.5228 5.5228 6.1700 90.00 90.00 90.00
With the nearest neighbours (Å) after each atom.
Fractional positions:
Cs  0.5000  0.5000  0.5000  4 K 3.91, 8 Bi 4.14
K  0.0000  0.0000  0.5000  2 Pd 3.09
Bi  0.0000  0.5000  0.0000  2 Pd 2.76
Bi  0.5000  0.0000  0.0000  2 Pd 2.76
Pd  0.0000  0.0000  0.0000  4 Bi 2.76, 2 K 3.09

A plane-wave DFT calculation with GGA-PBE was carried out for a geometry-optimized Cs2KBiPt structure.

Output
Total magnetization, μB/cell: 0.295
Formation energy from the elements, eV per atom: -0.09
Fermi-level density of states, states/eV per atom: 0.70
V, Å³/atom: 50.9
E_tot, eV per atom: -2.640
Crystal system: tetragonal

Lattice parameters (Å, degrees): 6.9460 6.9460 5.2799 90.00 90.00 90.00
With the nearest neighbours (Å) after each atom.
Fractional positions:
Cs  0.0000  0.5000  0.0000  2 Pt 3.47
Cs  0.5000  0.0000  0.0000  2 Pt 3.47
K  0.5000  0.5000  0.5000  8 Cs 4.36
Bi  0.0000  0.0000  0.5000  2 Pt 2.64
Pt  0.0000  0.0000  0.0000  2 Bi 2.64

A plane-wave DFT calculation with GGA-PBE was carried out for a geometry-optimized CsK2BiPt structure.

Output
Total magnetization, μB/cell: 0.121
Formation energy from the elements, eV per atom: -0.17
Fermi-level density of states, states/eV per atom: 0.62
V, Å³/atom: 43.1
E_tot, eV per atom: -2.766
Crystal system: tetragonal

Lattice parameters (Å, degrees): 6.3042 6.3042 5.4275 90.00 90.00 90.00
With the nearest neighbours (Å) after each atom.
Fractional positions:
Cs  0.5000  0.5000  0.5000  8 K 4.16, 4 Bi 4.46
K  0.0000  0.5000  0.0000  2 Pt 3.15
K  0.5000  0.0000  0.0000  2 Pt 3.15
Bi  0.0000  0.0000  0.5000  2 Pt 2.71
Pt  0.0000  0.0000  0.0000  2 Bi 2.71

A plane-wave DFT calculation with GGA-PBE was carried out for a geometry-optimized CsK2Bi2Pt structure.

Output
Total magnetization, μB/cell: 0.000
Formation energy from the elements, eV per atom: -0.28
Fermi-level density of states, states/eV per atom: 0.36
V, Å³/atom: 45.3
E_tot, eV per atom: -3.088
Crystal system: orthorhombic

Lattice parameters (Å, degrees): 7.9415 9.9952 9.3572 122.28 115.11 90.00
With the nearest neighbours (Å) after each atom.
Fractional positions:
Cs  0.2500  0.0000  0.0000  4 Bi 3.88, 2 Cs 3.97
Cs  0.7500  0.0000  0.0000  4 Bi 3.88, 2 Cs 3.97
K  0.6951  0.8332  0.3903  3 Bi 3.49-3.85, 2 Pt 3.60
K  0.1951  0.5571  0.3903  3 Bi 3.49-3.85, 2 Pt 3.60
K  0.8049  0.4429  0.6097  3 Bi 3.49-3.85, 2 Pt 3.60
K  0.3049  0.1668  0.6097  3 Bi 3.49-3.85, 2 Pt 3.60
Bi  0.4417  0.6178  0.8833  2 Pt 2.77
Bi  0.5583  0.3822  0.1167  2 Pt 2.77
Bi  0.0583  0.7345  0.1167  2 Pt 2.77
Bi  0.9417  0.2655  0.8833  2 Pt 2.77
Pt  0.7500  0.5000  0.0000  4 Bi 2.77
Pt  0.2500  0.5000  0.0000  4 Bi 2.77

A plane-wave DFT calculation with GGA-PBE was carried out for a geometry-optimized Cs2KRbBi structure.

Output
Energy above the lowest structure with this stoichiometry, meV per atom: 25
Total magnetization, μB/cell: 1.055
Formation energy from the elements, eV per atom: -0.10
Fermi-level density of states, states/eV per atom: 1.11
V, Å³/atom: 86.3
E_tot, eV per atom: -1.635
Crystal system: tetragonal

Lattice parameters (Å, degrees): 7.6541 7.6541 7.3686 90.00 90.00 90.00
With the nearest neighbours (Å) after each atom.
Fractional positions:
Cs  0.0000  0.5000  0.0000  2 Bi 3.83
Cs  0.5000  0.0000  0.0000  2 Bi 3.83
K  0.5000  0.5000  0.5000  8 Cs 5.31, 4 Rb 5.41
Bi  0.0000  0.0000  0.0000  2 Rb 3.68, 4 Cs 3.83
Rb  0.0000  0.0000  0.5000  2 Bi 3.68

A plane-wave DFT calculation with GGA-PBE was carried out for a geometry-optimized Cs2KRbBi structure.

Output
Energy above the lowest structure with this stoichiometry, meV per atom: 0
Total magnetization, μB/cell: 0.857
Formation energy from the elements, eV per atom: -0.13
Fermi-level density of states, states/eV per atom: 1.19
V, Å³/atom: 82.9
E_tot, eV per atom: -1.660
Crystal system: tetragonal

Lattice parameters (Å, degrees): 7.6906 7.6906 7.0105 90.00 90.00 90.00
With the nearest neighbours (Å) after each atom.
Fractional positions:
Cs  0.0000  0.5000  0.0000  2 Bi 3.85
Cs  0.5000  0.0000  0.0000  2 Bi 3.85
K  0.0000  0.0000  0.5000  2 Bi 3.51
Bi  0.0000  0.0000  0.0000  2 K 3.51, 4 Cs 3.85
Rb  0.5000  0.5000  0.5000  8 Cs 5.20, 4 K 5.44